(1)
A plane-wave DFT calculation with GGA-PBE was carried out for an optimized crystal structure of Co5TcNi.

symmetry = P2_1/c (14)
density of states at the Fermi level = 1.2327 states/eV per atom
total magnetic moment = 28.06 Bohr magnetons per cell
ΔE_f = 0.1094 eV per atom
DFT total energy = -7.273 eV per atom

abc: 4.4089 8.2861 8.9356
angles: 90.00 102.44 90.00
Element x y z (fractional)
Co1 0.0442 0.1262 0.4326
Co2 0.0442 0.3738 0.9326
Co3 0.0958 0.6325 0.3616
Co4 0.0958 0.8675 0.8616
Co5 0.1817 0.1097 0.7133
Co6 0.1817 0.3903 0.2133
Co7 0.3337 0.1235 0.9937
Co8 0.3337 0.3765 0.4937
Co9 0.3832 0.6181 0.9255
Co10 0.3832 0.8819 0.4255
Co11 0.6168 0.1181 0.5745
Co12 0.6168 0.3819 0.0745
Co13 0.6663 0.6235 0.5063
Co14 0.6663 0.8765 0.0063
Co15 0.8183 0.6097 0.7867
Co16 0.8183 0.8903 0.2867
Co17 0.9042 0.1325 0.1384
Co18 0.9042 0.3675 0.6384
Co19 0.9558 0.6262 0.0674
Co20 0.9558 0.8738 0.5674
Tc1 0.4734 0.1339 0.2870
Tc2 0.4734 0.3661 0.7870
Tc3 0.5266 0.6339 0.2130
Tc4 0.5266 0.8661 0.7130
Ni1 0.2304 0.6134 0.6402
Ni2 0.2304 0.8866 0.1402
Ni3 0.7696 0.1134 0.8598
Ni4 0.7696 0.3866 0.3598

***

(2)
A plane-wave DFT calculation with GGA-PBE was carried out for an optimized crystal structure of CoTcNi.

symmetry = Cmcm (63)
density of states at the Fermi level = 1.3103 states/eV per atom
polymorph energy (0 for the lowest one) = 0.130 eV per formula unit
total magnetic moment = 0.00 Bohr magnetons per cell
ΔE_f = 0.0515 eV per atom
DFT total energy = -7.700 eV per atom

abc: 5.7665 5.7665 3.6261
angles: 90.00 90.00 143.42
Element x y z (fractional)
Co1 0.0763 0.9237 0.7500
Co2 0.9237 0.0763 0.2500
Tc1 0.4158 0.5842 0.7500
Tc2 0.5842 0.4158 0.2500
Ni1 0.2484 0.7516 0.2500
Ni2 0.7516 0.2484 0.7500

***

(3)
A plane-wave DFT calculation with GGA-PBE was carried out for an optimized crystal structure of Co2TcNi.

symmetry = I-42d (122)
density of states at the Fermi level = 1.4780 states/eV per atom
polymorph energy (0 for the lowest one) = 2.231 eV per formula unit
total magnetic moment = 0.00 Bohr magnetons per cell
ΔE_f = 0.6053 eV per atom
DFT total energy = -6.984 eV per atom

abc: 5.1390 5.1390 5.1390
angles: 104.04 104.04 120.98
Element x y z (fractional)
Co1 0.1169 0.1250 0.4919
Co2 0.3750 0.8831 0.0081
Co3 0.6331 0.6250 0.5081
Co4 0.8750 0.3669 0.9919
Tc1 0.0000 0.0000 0.0000
Tc2 0.7500 0.2500 0.5000
Ni1 0.2500 0.7500 0.5000
Ni2 0.5000 0.5000 0.0000

***

(4)
A plane-wave DFT calculation with GGA-PBE was carried out for an optimized crystal structure of CoTc2Ni.

symmetry = I4/mmm (139)
density of states at the Fermi level = 1.1680 states/eV per atom
polymorph energy (0 for the lowest one) = 0.399 eV per formula unit
total magnetic moment = 1.64 Bohr magnetons per cell
ΔE_f = 0.0624 eV per atom
DFT total energy = -8.342 eV per atom

abc: 4.5737 4.5737 4.5737
angles: 132.70 132.70 69.13
Element x y z (fractional)
Co1 0.0000 0.0000 0.0000
Tc1 0.2500 0.7500 0.5000
Tc2 0.7500 0.2500 0.5000
Ni1 0.5000 0.5000 0.0000

***

Copy entry 2 word for word.
A plane-wave DFT calculation with GGA-PBE was carried out for an optimized crystal structure of CoTcNi.

symmetry = Cmcm (63)
density of states at the Fermi level = 1.3103 states/eV per atom
polymorph energy (0 for the lowest one) = 0.130 eV per formula unit
total magnetic moment = 0.00 Bohr magnetons per cell
ΔE_f = 0.0515 eV per atom
DFT total energy = -7.700 eV per atom

abc: 5.7665 5.7665 3.6261
angles: 90.00 90.00 143.42
Element x y z (fractional)
Co1 0.0763 0.9237 0.7500
Co2 0.9237 0.0763 0.2500
Tc1 0.4158 0.5842 0.7500
Tc2 0.5842 0.4158 0.2500
Ni1 0.2484 0.7516 0.2500
Ni2 0.7516 0.2484 0.7500

***

- What is the DFT total energy in the fourth record?
  -8.342 eV per atom

***

- What is the formula in the first record?
  Co5TcNi